DFT (PBE) results for a relaxed Y5CdAg4 crystal.

Energy of formation from the pure elements = -0.35 eV/atom
Total moment = 0.0010 μB per atom

a = 3.6585 Å, b = 3.6585 Å, c = 18.4467 Å
α = 90.00°, β = 90.00°, γ = 90.00°
Fractional positions:
Cd  0.0000  0.0000  0.0000
Y  0.5000  0.5000  0.8951
Y  0.5000  0.5000  0.1049
Y  0.5000  0.5000  0.6981
Y  0.5000  0.5000  0.3019
Y  0.5000  0.5000  0.5000
Ag  0.0000  0.0000  0.2023
Ag  0.0000  0.0000  0.7977
Ag  0.0000  0.0000  0.5987
Ag  0.0000  0.0000  0.4013


DFT (PBE) results for a relaxed ZnCdAg6 crystal.

Energy of formation from the pure elements = -0.04 eV/atom

a = 5.8799 Å, b = 5.8799 Å, c = 4.7865 Å
α = 90.00°, β = 90.00°, γ = 120.00°
Fractional positions:
Ag  0.6640  0.8320  0.5000
Ag  0.5019  0.4981  0.0000
Ag  0.9962  0.4981  0.0000
Ag  0.1680  0.3360  0.5000
Ag  0.5019  0.0038  0.0000
Ag  0.1680  0.8320  0.5000
Zn  0.6667  0.3333  0.5000
Cd  0.0000  0.0000  0.0000


DFT (PBE) results for a relaxed ZnCdAg2 crystal.

Energy of formation from the pure elements = -0.01 eV/atom

a = 4.6637 Å, b = 4.6637 Å, c = 4.6637 Å
α = 60.00°, β = 60.00°, γ = 60.00°
Fractional positions:
Ag  0.7500  0.7500  0.7500
Ag  0.0000  0.0000  0.0000
Zn  0.5000  0.5000  0.5000
Cd  0.2500  0.2500  0.2500


DFT (PBE) results for a relaxed Zn2CdAg crystal.

Energy of formation from the pure elements = 0.05 eV/atom

a = 4.5913 Å, b = 4.5913 Å, c = 4.5913 Å
α = 60.00°, β = 60.00°, γ = 60.00°
Fractional positions:
Cd  0.7500  0.7500  0.7500
Zn  0.0000  0.0000  0.0000
Zn  0.2500  0.2500  0.2500
Ag  0.5000  0.5000  0.5000


Question: Among the records above, which one has the lowest energy of formation from the pure elements?
Answer: Y5CdAg4


What did the first record say?
DFT (PBE) results for a relaxed Y5CdAg4 crystal.

Energy of formation from the pure elements = -0.35 eV/atom
Total moment = 0.0010 μB per atom

a = 3.6585 Å, b = 3.6585 Å, c = 18.4467 Å
α = 90.00°, β = 90.00°, γ = 90.00°
Fractional positions:
Cd  0.0000  0.0000  0.0000
Y  0.5000  0.5000  0.8951
Y  0.5000  0.5000  0.1049
Y  0.5000  0.5000  0.6981
Y  0.5000  0.5000  0.3019
Y  0.5000  0.5000  0.5000
Ag  0.0000  0.0000  0.2023
Ag  0.0000  0.0000  0.7977
Ag  0.0000  0.0000  0.5987
Ag  0.0000  0.0000  0.4013